The following is a DFT calculation (PBE) of a relaxed Ho2Pb crystal.

Cell lengths 8.927, 8.927, 8.927 Å; angles 90.00, 90.00, 90.00 degrees
Space group Fd-3m (No. 227, origin choice 2)
Inequivalent atoms, fractional coordinates:
Ho 0.000 0.000 0.000 x16
Pb 0.125 0.125 0.625 x8

Output
Raw total energy: -4.199 eV per atom